(1)
# LiMg6Ni (PBE-GGA, optimized geometry)
data_LiMg6Ni
_cell_length_a 4.626
_cell_length_b 4.626
_cell_length_c 14.338
_cell_angle_alpha 90.00
_cell_angle_beta 90.00
_cell_angle_gamma 90.00
_symmetry_space_group_name_H-M 'I 4/m m m'
_symmetry_Int_Tables_number 139
_symmetry_space_group_name_Hall '-I 4 2'
loop_
_atom_site_label
_atom_site_fract_x
_atom_site_fract_y
_atom_site_fract_z
Li1 0.000 0.000 0.000
Mg1 0.000 0.000 0.254
Mg2 0.000 0.500 0.104
Ni1 0.000 0.000 0.500
# - ΔE_f: -0.067 eV/atom
# - E above lowest polymorph: 0.0 meV per atom
# - Electronic total energy: -2.2248 eV/atom

---

(2)
# Li2Mg2Ni (PBE-GGA, optimized geometry)
data_Li2Mg2Ni
_cell_length_a 4.952
_cell_length_b 4.952
_cell_length_c 6.867
_cell_angle_alpha 90.00
_cell_angle_beta 90.00
_cell_angle_gamma 90.00
_symmetry_space_group_name_H-M 'I 4/m m m'
_symmetry_Int_Tables_number 139
_symmetry_space_group_name_Hall '-I 4 2'
loop_
_atom_site_label
_atom_site_fract_x
_atom_site_fract_y
_atom_site_fract_z
Li1 0.000 0.000 0.154
Mg1 0.000 0.500 0.250
Ni1 0.000 0.000 0.500
# - ΔE_f: 0.267 eV/atom
# - E above lowest polymorph: 350.3 meV per atom
# - Electronic total energy: -2.2926 eV/atom

---

(3)
# LiMg14Ni (PBE-GGA, optimized geometry)
data_LiMg14Ni
_cell_length_a 6.2455
_cell_length_b 6.2455
_cell_length_c 10.0489
_cell_angle_alpha 90.00
_cell_angle_beta 90.00
_cell_angle_gamma 120.00
_symmetry_space_group_name_H-M 'P -6 m 2'
_symmetry_Int_Tables_number 187
_symmetry_space_group_name_Hall 'P -6 2'
loop_
_atom_site_label
_atom_site_fract_x
_atom_site_fract_y
_atom_site_fract_z
Li1 0.0000 0.0000 0.0000
Mg1 0.0039 0.5020 0.0000
Mg2 0.1609 0.3219 0.2622
Mg3 0.5025 0.0051 0.5000
Mg4 0.6667 0.3333 0.2457
Ni1 0.0000 0.0000 0.5000
# - ΔE_f: -0.002 eV/atom
# - E above lowest polymorph: 0.0 meV per atom
# - Electronic total energy: -1.8783 eV/atom

---

(4)
# LiMg2Ni (PBE-GGA, optimized geometry)
data_LiMg2Ni
_cell_length_a 6.391
_cell_length_b 6.391
_cell_length_c 6.391
_cell_angle_alpha 90.00
_cell_angle_beta 90.00
_cell_angle_gamma 90.00
_symmetry_space_group_name_H-M 'F -4 3 m'
_symmetry_Int_Tables_number 216
_symmetry_space_group_name_Hall 'F -4 2 3'
loop_
_atom_site_label
_atom_site_fract_x
_atom_site_fract_y
_atom_site_fract_z
Li1 0.000 0.000 0.000
Mg1 0.000 0.000 0.500
Mg2 0.250 0.250 0.250
Ni1 0.250 0.250 0.750
# - ΔE_f: 0.021 eV/atom
# - Electronic total energy: -2.7005 eV/atom

---

(5)
# LiMgNi2 (PBE-GGA, optimized geometry)
data_LiMgNi2
_cell_length_a 3.714
_cell_length_b 3.714
_cell_length_c 7.446
_cell_angle_alpha 90.00
_cell_angle_beta 90.00
_cell_angle_gamma 90.00
_symmetry_space_group_name_H-M 'I 4/m m m'
_symmetry_Int_Tables_number 139
_symmetry_space_group_name_Hall '-I 4 2'
loop_
_atom_site_label
_atom_site_fract_x
_atom_site_fract_y
_atom_site_fract_z
Li1 0.000 0.000 0.000
Mg1 0.000 0.000 0.500
Ni1 0.000 0.500 0.250
# - ΔE_f: -0.028 eV/atom
# - Electronic total energy: -3.7960 eV/atom

---

(6)
# Li3MgNi8 (PBE-GGA, optimized geometry)
data_Li3MgNi8
_cell_length_a 4.7465
_cell_length_b 4.7465
_cell_length_c 23.2082
_cell_angle_alpha 90.00
_cell_angle_beta 90.00
_cell_angle_gamma 120.00
_symmetry_space_group_name_H-M 'R 3 m'
_symmetry_Int_Tables_number 160
_symmetry_space_group_name_Hall 'R 3 -2"'
loop_
_atom_site_label
_atom_site_fract_x
_atom_site_fract_y
_atom_site_fract_z
Li1 0.0000 0.0000 0.0000
Li2 0.0000 0.0000 0.1228
Li3 0.0000 0.0000 0.4957
Mg1 0.0000 0.0000 0.6228
Ni1 0.0000 0.0000 0.3103
Ni2 0.0000 0.0000 0.8101
Ni3 0.0004 0.5002 0.0604
Ni4 0.0001 0.5000 0.5598
# - ΔE_f: -0.082 eV/atom
# - Electronic total energy: -4.5473 eV/atom

---

(7)
# LiMg3Ni (PBE-GGA, optimized geometry)
data_LiMg3Ni
_cell_length_a 9.080
_cell_length_b 5.812
_cell_length_c 7.529
_cell_angle_alpha 90.00
_cell_angle_beta 108.80
_cell_angle_gamma 90.00
_symmetry_space_group_name_H-M 'C 1 2/m 1'
_symmetry_Int_Tables_number 12
loop_
_symmetry_equiv_pos_as_xyz
'x,y,z'
'-x,-y,-z'
'-x,y,-z'
'x,-y,z'
'x+1/2,y+1/2,z'
'-x+1/2,-y+1/2,-z'
'-x+1/2,y+1/2,-z'
'x+1/2,-y+1/2,z'
loop_
_atom_site_label
_atom_site_fract_x
_atom_site_fract_y
_atom_site_fract_z
Li1 0.046 0.000 0.198
Mg1 0.159 0.500 0.004
Mg2 0.161 0.251 0.631
Ni1 0.075 0.500 0.317
# - ΔE_f: -0.061 eV/atom
# - E above lowest polymorph: 0.0 meV per atom
# - Electronic total energy: -2.5572 eV/atom

---

(8)
# LiMg2Ni (PBE-GGA, optimized geometry)
data_LiMg2Ni
_cell_length_a 4.020
_cell_length_b 4.020
_cell_length_c 18.317
_cell_angle_alpha 90.00
_cell_angle_beta 90.00
_cell_angle_gamma 90.00
_symmetry_space_group_name_H-M 'I -4 2 d'
_symmetry_Int_Tables_number 122
_symmetry_space_group_name_Hall 'I -4 2bw'
loop_
_atom_site_label
_atom_site_fract_x
_atom_site_fract_y
_atom_site_fract_z
Li1 0.000 0.000 0.000
Mg1 0.235 0.250 0.625
Ni1 0.000 0.000 0.500
# - ΔE_f: 0.307 eV/atom
# - Electronic total energy: -2.4136 eV/atom

---

(9)
# LiMgNi2 (PBE-GGA, optimized geometry)
data_LiMgNi2
_cell_length_a 2.638
_cell_length_b 3.718
_cell_length_c 5.332
_cell_angle_alpha 90.00
_cell_angle_beta 90.00
_cell_angle_gamma 90.00
_symmetry_space_group_name_H-M 'P m m 2'
_symmetry_Int_Tables_number 25
loop_
_symmetry_equiv_pos_as_xyz
'x,y,z'
'-x,-y,z'
'-x,y,z'
'x,-y,z'
loop_
_atom_site_label
_atom_site_fract_x
_atom_site_fract_y
_atom_site_fract_z
Li1 0.000 0.000 0.000
Mg1 0.500 0.500 0.296
Ni1 0.000 0.000 0.551
Ni2 0.500 0.500 0.777
# - ΔE_f: 0.009 eV/atom
# - Electronic total energy: -3.7586 eV/atom

---

(10)
# Li2Mg2Ni (PBE-GGA, optimized geometry)
data_Li2Mg2Ni
_cell_length_a 6.617
_cell_length_b 6.617
_cell_length_c 4.429
_cell_angle_alpha 90.00
_cell_angle_beta 90.00
_cell_angle_gamma 90.00
_symmetry_space_group_name_H-M 'P 4/m b m'
_symmetry_Int_Tables_number 127
_symmetry_space_group_name_Hall '-P 4 2ab'
loop_
_atom_site_label
_atom_site_fract_x
_atom_site_fract_y
_atom_site_fract_z
Li1 0.167 0.333 0.000
Mg1 0.156 0.656 0.500
Ni1 0.000 0.000 0.500
# - ΔE_f: 0.164 eV/atom
# - E above lowest polymorph: 247.0 meV per atom
# - Electronic total energy: -2.3959 eV/atom

---

(11)
# LiMg2Ni (PBE-GGA, optimized geometry)
data_LiMg2Ni
_cell_length_a 4.755
_cell_length_b 2.926
_cell_length_c 5.191
_cell_angle_alpha 90.00
_cell_angle_beta 113.16
_cell_angle_gamma 90.00
_symmetry_space_group_name_H-M 'P 1 2/m 1'
_symmetry_Int_Tables_number 10
loop_
_symmetry_equiv_pos_as_xyz
'x,y,z'
'-x,-y,-z'
'-x,y,-z'
'x,-y,z'
loop_
_atom_site_label
_atom_site_fract_x
_atom_site_fract_y
_atom_site_fract_z
Li1 0.000 0.000 0.000
Mg1 0.500 0.000 0.500
Mg2 0.500 0.500 0.000
Ni1 0.000 0.500 0.500
# - ΔE_f: 0.050 eV/atom
# - Electronic total energy: -2.6712 eV/atom

---

(12)
# LiMgNi2 (PBE-GGA, optimized geometry)
data_LiMgNi2
_cell_length_a 9.545
_cell_length_b 2.742
_cell_length_c 4.434
_cell_angle_alpha 90.00
_cell_angle_beta 113.56
_cell_angle_gamma 90.00
_symmetry_space_group_name_H-M 'C 1 m 1'
_symmetry_Int_Tables_number 8
loop_
_symmetry_equiv_pos_as_xyz
'x,y,z'
'x,-y,z'
'x+1/2,y+1/2,z'
'x+1/2,-y+1/2,z'
loop_
_atom_site_label
_atom_site_fract_x
_atom_site_fract_y
_atom_site_fract_z
Li1 0.000 0.000 0.000
Mg1 0.220 0.000 0.629
Ni1 0.252 0.500 0.147
Ni2 0.466 0.000 0.482
# - ΔE_f: -0.020 eV/atom
# - Electronic total energy: -3.7877 eV/atom

---

(13)
# LiMgNi4 (PBE-GGA, optimized geometry)
data_LiMgNi4
_cell_length_a 6.742
_cell_length_b 6.742
_cell_length_c 6.742
_cell_angle_alpha 90.00
_cell_angle_beta 90.00
_cell_angle_gamma 90.00
_symmetry_space_group_name_H-M 'F -4 3 m'
_symmetry_Int_Tables_number 216
_symmetry_space_group_name_Hall 'F -4 2 3'
loop_
_atom_site_label
_atom_site_fract_x
_atom_site_fract_y
_atom_site_fract_z
Li1 0.000 0.000 0.000
Mg1 0.250 0.250 0.250
Ni1 0.125 0.125 0.625
# - ΔE_f: -0.143 eV/atom
# - Electronic total energy: -4.5824 eV/atom

---

(14)
# LiMg6Ni5 (PBE-GGA, optimized geometry)
data_LiMg6Ni5
_cell_length_a 4.373
_cell_length_b 13.147
_cell_length_c 6.130
_cell_angle_alpha 90.00
_cell_angle_beta 90.00
_cell_angle_gamma 90.00
_symmetry_space_group_name_H-M 'C m m m'
_symmetry_Int_Tables_number 65
_symmetry_space_group_name_Hall '-C 2 2'
loop_
_atom_site_label
_atom_site_fract_x
_atom_site_fract_y
_atom_site_fract_z
Li1 0.000 0.000 0.000
Mg1 0.000 0.172 0.255
Mg2 0.000 0.500 0.257
Ni1 0.000 0.000 0.500
Ni2 0.000 0.335 0.000
Ni3 0.000 0.338 0.500
# - ΔE_f: -0.132 eV/atom
# - Electronic total energy: -3.4973 eV/atom

---

(15)
# LiMgNi2 (PBE-GGA, optimized geometry)
data_LiMgNi2
_cell_length_a 2.961
_cell_length_b 2.961
_cell_length_c 5.778
_cell_angle_alpha 90.00
_cell_angle_beta 90.00
_cell_angle_gamma 90.00
_symmetry_space_group_name_H-M 'P 4/m m m'
_symmetry_Int_Tables_number 123
_symmetry_space_group_name_Hall '-P 4 2'
loop_
_atom_site_label
_atom_site_fract_x
_atom_site_fract_y
_atom_site_fract_z
Li1 0.000 0.000 0.000
Mg1 0.000 0.000 0.500
Ni1 0.500 0.500 0.224
# - ΔE_f: -0.015 eV/atom
# - Electronic total energy: -3.7831 eV/atom

---

(16)
# Li2Mg3Ni (PBE-GGA, optimized geometry)
data_Li2Mg3Ni
_cell_length_a 4.484
_cell_length_b 6.956
_cell_length_c 7.152
_cell_angle_alpha 90.00
_cell_angle_beta 107.83
_cell_angle_gamma 90.00
_symmetry_space_group_name_H-M 'P 1 2/m 1'
_symmetry_Int_Tables_number 10
loop_
_symmetry_equiv_pos_as_xyz
'x,y,z'
'-x,-y,-z'
'-x,y,-z'
'x,-y,z'
loop_
_atom_site_label
_atom_site_fract_x
_atom_site_fract_y
_atom_site_fract_z
Li1 0.000 0.000 0.000
Li2 0.000 0.500 0.000
Li3 0.337 0.000 0.675
Mg1 0.174 0.283 0.348
Mg2 0.500 0.275 0.000
Ni1 0.339 0.500 0.676
# - ΔE_f: -0.092 eV/atom
# - Electronic total energy: -2.4906 eV/atom

---

(17)
# Li6Mg2Ni (PBE-GGA, optimized geometry)
data_Li6Mg2Ni
_cell_length_a 7.640
_cell_length_b 14.539
_cell_length_c 2.998
_cell_angle_alpha 90.00
_cell_angle_beta 99.40
_cell_angle_gamma 90.00
_symmetry_space_group_name_H-M 'C 1 2/m 1'
_symmetry_Int_Tables_number 12
loop_
_symmetry_equiv_pos_as_xyz
'x,y,z'
'-x,-y,-z'
'-x,y,-z'
'x,-y,z'
'x+1/2,y+1/2,z'
'-x+1/2,-y+1/2,-z'
'-x+1/2,y+1/2,-z'
'x+1/2,-y+1/2,z'
loop_
_atom_site_label
_atom_site_fract_x
_atom_site_fract_y
_atom_site_fract_z
Li1 0.162 0.170 0.340
Li2 0.206 0.000 0.864
Mg1 0.000 0.352 0.000
Ni1 0.000 0.500 0.500
# - ΔE_f: -0.004 eV/atom
# - Electronic total energy: -2.2764 eV/atom

---

(18)
# Li12Mg3Ni (PBE-GGA, optimized geometry)
data_Li12Mg3Ni
_cell_length_a 4.849
_cell_length_b 4.849
_cell_length_c 12.510
_cell_angle_alpha 90.00
_cell_angle_beta 90.00
_cell_angle_gamma 90.00
_symmetry_space_group_name_H-M 'P 4/m m m'
_symmetry_Int_Tables_number 123
_symmetry_space_group_name_Hall '-P 4 2'
loop_
_atom_site_label
_atom_site_fract_x
_atom_site_fract_y
_atom_site_fract_z
Li1 0.000 0.000 0.000
Li2 0.000 0.000 0.239
Li3 0.000 0.000 0.500
Li4 0.000 0.500 0.104
Li5 0.000 0.500 0.367
Mg1 0.500 0.500 0.224
Mg2 0.500 0.500 0.500
Ni1 0.500 0.500 0.000
# - ΔE_f: 0.003 eV/atom
# - Electronic total energy: -2.0931 eV/atom

---

(19)
# LiMgNi2 (PBE-GGA, optimized geometry)
data_LiMgNi2
_cell_length_a 2.936
_cell_length_b 2.936
_cell_length_c 6.323
_cell_angle_alpha 90.00
_cell_angle_beta 90.00
_cell_angle_gamma 90.00
_symmetry_space_group_name_H-M 'P 4 m m'
_symmetry_Int_Tables_number 99
loop_
_symmetry_equiv_pos_as_xyz
'x,y,z'
'-y,x,z'
'-x,-y,z'
'y,-x,z'
'-x,y,z'
'y,x,z'
'x,-y,z'
'-y,-x,z'
loop_
_atom_site_label
_atom_site_fract_x
_atom_site_fract_y
_atom_site_fract_z
Li1 0.000 0.000 0.000
Mg1 0.500 0.500 0.324
Ni1 0.000 0.000 0.576
Ni2 0.500 0.500 0.781
# - ΔE_f: 0.022 eV/atom
# - Electronic total energy: -3.7454 eV/atom

---

(20)
# LiMg2Ni (PBE-GGA, optimized geometry)
data_LiMg2Ni
_cell_length_a 3.064
_cell_length_b 3.116
_cell_length_c 7.126
_cell_angle_alpha 90.00
_cell_angle_beta 90.00
_cell_angle_gamma 90.00
_symmetry_space_group_name_H-M 'P m m m'
_symmetry_Int_Tables_number 47
loop_
_symmetry_equiv_pos_as_xyz
'x,y,z'
'-x,-y,-z'
'-x,-y,z'
'x,y,-z'
'x,-y,-z'
'-x,y,z'
'-x,y,-z'
'x,-y,z'
loop_
_atom_site_label
_atom_site_fract_x
_atom_site_fract_y
_atom_site_fract_z
Li1 0.000 0.000 0.000
Mg1 0.500 0.500 0.289
Ni1 0.000 0.000 0.500
# - ΔE_f: -0.108 eV/atom
# - Electronic total energy: -2.8290 eV/atom